(1)
The following is a GGA-PBE calculation of a relaxed Be2CdSe crystal, from Alexandria.

```
8
Lattice="-2.964 2.964 4.263 2.964 -2.964 4.263 2.964 2.964 -4.263" Properties=species:S:1:pos:R:3 pbc="T T T"
Be 4.445 1.207 -1.066
Be 1.207 1.482 1.066
Be -1.482 1.757 3.197
Be 1.757 1.482 5.329
Cd 2.964 0.000 2.131
Cd 0.000 0.000 4.263
Se 0.000 0.000 0.000
Se 0.000 2.964 2.131
```

Computed properties:
- Formation energy (no corrections): 175 meV/atom
- M_tot: 0.0 μB/cell


(2)
The following is a GGA-PBE calculation of a relaxed BeCdSe2 crystal, from Alexandria.

```
4
Lattice="3.818 0.000 0.000 -1.909 3.306 0.000 0.000 0.000 6.844" Properties=species:S:1:pos:R:3 pbc="T T T"
Be 0.000 0.000 0.000
Cd 0.000 2.204 3.448
Se 0.000 2.204 6.098
Se 1.909 1.102 1.970
```

Computed properties:
- Formation energy (no corrections): -389 meV/atom
- M_tot: 0.0 μB/cell


(3)
The following is a GGA-PBE calculation of a relaxed BeCdSe2 crystal, from Alexandria.

```
8
Lattice="-3.609 3.609 3.020 3.609 -3.609 3.020 3.609 3.609 -3.020" Properties=species:S:1:pos:R:3 pbc="T T T"
Be 3.609 0.000 1.510
Be 0.000 3.609 1.510
Cd 0.000 0.000 1.510
Cd 0.000 0.000 4.530
Se 4.806 1.197 0.000
Se 1.197 2.412 0.000
Se 2.412 1.197 3.020
Se -1.197 2.412 3.020
```

Computed properties:
- Formation energy (no corrections): -351 meV/atom
- M_tot: 0.0 μB/cell


(4)
The following is a GGA-PBE calculation of a relaxed BeCd2Se crystal, from Alexandria.

```
4
Lattice="-1.897 1.897 5.951 1.897 -1.897 5.951 1.897 1.897 -5.951" Properties=species:S:1:pos:R:3 pbc="T T T"
Be 0.000 0.000 0.000
Cd 1.897 0.000 2.975
Cd 0.000 1.897 2.975
Se 0.000 0.000 5.951
```

Computed properties:
- Formation energy (no corrections): 349 meV/atom
- M_tot: 0.0 μB/cell


(5)
The following is a GGA-PBE calculation of a relaxed Be2CdSe crystal, from Alexandria.

```
4
Lattice="1.615 -3.264 0.000 1.615 3.264 0.000 0.000 0.000 7.229" Properties=species:S:1:pos:R:3 pbc="T T T"
Be 0.000 0.000 1.534
Be 0.000 0.000 5.695
Cd 1.615 0.000 3.614
Se 1.615 0.000 0.000
```

Computed properties:
- Formation energy (no corrections): 441 meV/atom
- M_tot: 0.0 μB/cell


(6)
The following is a GGA-PBE calculation of a relaxed BeCdSe3 crystal, from Alexandria.

```
5
Lattice="4.676 0.000 0.000 0.000 4.676 0.000 0.000 0.000 4.676" Properties=species:S:1:pos:R:3 pbc="T T T"
Be 0.000 0.000 0.000
Cd 2.338 2.338 2.338
Se 0.000 0.000 2.338
Se 0.000 2.338 0.000
Se 2.338 0.000 0.000
```

Computed properties:
- Formation energy (no corrections): 192 meV/atom
- M_tot: 0.0 μB/cell


(7)
The following is a GGA-PBE calculation of a relaxed BeCdSe2 crystal, from Alexandria.

```
8
Lattice="1.974 -10.132 0.000 1.974 10.132 0.000 0.000 0.000 4.451" Properties=species:S:1:pos:R:3 pbc="T T T"
Be 1.974 8.839 3.339
Be 1.974 -8.839 1.113
Cd 1.974 3.572 3.339
Cd 1.974 -3.572 1.113
Se 1.974 9.123 1.113
Se 1.974 6.504 3.339
Se 1.974 -6.504 1.113
Se 1.974 -9.123 3.339
```

Computed properties:
- Formation energy (no corrections): -173 meV/atom
- M_tot: 0.0 μB/cell


(8)
The following is a GGA-PBE calculation of a relaxed BeCdSe2 crystal, from Alexandria.

```
8
Lattice="3.943 0.000 0.000 0.000 8.145 0.000 -3.943 0.000 5.658" Properties=species:S:1:pos:R:3 pbc="T T T"
Be 0.000 0.877 0.000
Be -1.972 7.267 2.829
Cd -1.971 2.865 2.839
Cd 0.001 5.280 0.010
Se 1.973 0.736 1.238
Se 0.001 7.409 4.067
Se 0.001 2.835 4.598
Se 1.973 5.310 1.769
```

Computed properties:
- Formation energy (no corrections): -654 meV/atom
- M_tot: 0.0 μB/cell


E across the listed records, respectively: -2.788; -3.292; -3.253; -1.911; -2.522; -2.827; -3.076; -3.556 eV/atom.
Offset from the most stable computed form across the listed records, respectively: 0.302; 1.186; 1.341; 1.463; 1.364; 0.000; 2.050; 0.128 eV/f.u..